Entry 1:
A relaxed structure of Cr2ReP, computed with GGA-PBE.

Values from the calculation:
V in Å³/cell: 50.68
Formation energy from the elements in eV/f.u.: -0.2
SG: Cm, No. 8
Final energy in eV/atom: -9.33
Magnetization in μB/cell: 0.0

CIF file:
```
data_Cr2ReP
_chemical_formula_sum 'Cr2 Re1 P1'
_cell_length_a 4.419
_cell_length_b 4.419
_cell_length_c 4.351
_cell_angle_alpha 76.51
_cell_angle_beta 76.51
_cell_angle_gamma 37.99
_symmetry_space_group_name_H-M 'P 1'
_symmetry_Int_Tables_number 1
_symmetry_space_group_name_Hall 'P 1'
loop_
_atom_site_label
_atom_site_fract_x
_atom_site_fract_y
_atom_site_fract_z
Cr1 0.002 0.002 0.075
Cr2 0.235 0.235 0.200
Re1 0.762 0.762 0.687
P1 0.501 0.501 0.538
```

Entry 2:
A relaxed structure of YBe2Ru, computed with GGA-PBE.

Values from the calculation:
V in Å³/cell: 57.46
Energy above the lowest structure with this stoichiometry in meV/atom: 60.7
Formation energy from the elements in eV/f.u.: -0.8
SG: P4/mmm, No. 123
Final energy in eV/atom: -5.99
Magnetization in μB/cell: 0.0

CIF file:
```
data_YBe2Ru
_chemical_formula_sum 'Y1 Be2 Ru1'
_cell_length_a 3.100
_cell_length_b 3.100
_cell_length_c 5.980
_cell_angle_alpha 90.00
_cell_angle_beta 90.00
_cell_angle_gamma 90.00
_symmetry_space_group_name_H-M 'P 1'
_symmetry_Int_Tables_number 1
_symmetry_space_group_name_Hall 'P 1'
loop_
_atom_site_label
_atom_site_fract_x
_atom_site_fract_y
_atom_site_fract_z
Ru1 0.500 0.500 0.250
Y1 0.500 0.500 0.750
Be1 0.000 0.000 0.422
Be2 0.000 0.000 0.078
```

Question: The highest formation energy from the elements belongs to which entry?
Answer: Cr2ReP